# 1
Crystalline RbPmPO at its relaxed geometry, computed with PBE.

Cell lengths 5.9480, 5.9480, 5.2085 Å; angles 90.00, 90.00, 90.00 degrees
Space group P4/nmm (No. 129, origin choice 2)
One atom of each set of equivalent atoms:
Rb1 0.2500 0.2500 0.0027 x2
Pm1 0.2500 0.7500 0.5000 x2
P1 0.2500 0.2500 0.5029 x2
O1 0.2500 0.7500 0.0000 x2

Summary:
- Uncorrected energy: -39.76 eV/cell

---

# 2
Crystalline RbPmPO at its relaxed geometry, computed with PBE.

Cell lengths 4.1940, 4.1940, 10.7918 Å; angles 90.00, 90.00, 90.00 degrees
Space group P4/nmm (No. 129, origin choice 2)
One atom of each set of equivalent atoms:
Rb1 0.2500 0.7500 0.0000 x2
Pm1 0.2500 0.2500 0.4020 x2
P1 0.2500 0.2500 0.7684 x2
O1 0.2500 0.7500 0.5000 x2

Summary:
- Uncorrected energy: -42.27 eV/cell

---

# 3
Crystalline RbPmPO at its relaxed geometry, computed with PBE.

Cell lengths 4.2110, 4.2110, 5.2007 Å; angles 90.00, 90.00, 90.00 degrees
Space group P4/mmm (No. 123)
One atom of each set of equivalent atoms:
Rb1 0.0000 0.0000 0.0000 x1
Pm1 0.5000 0.5000 0.5000 x1
P1 0.0000 0.0000 0.5000 x1
O1 0.5000 0.5000 0.0000 x1

Summary:
- Uncorrected energy: -19.88 eV/cell

---

# 4
Crystalline PmRePO at its relaxed geometry, computed with PBE.

Cell lengths 3.9568, 3.9568, 8.5804 Å; angles 90.00, 90.00, 90.00 degrees
Space group P4/nmm (No. 129, origin choice 2)
One atom of each set of equivalent atoms:
Pm1 0.2500 0.2500 0.1386 x2
Re1 0.2500 0.7500 0.5000 x2
P1 0.2500 0.2500 0.6617 x2
O1 0.2500 0.7500 0.0000 x2

Summary:
- Uncorrected energy: -68.96 eV/cell

---

# 5
Crystalline PmRePO at its relaxed geometry, computed with PBE.

Cell lengths 4.3391, 4.3512, 6.7051 Å; angles 90.00, 90.00, 90.00 degrees
Space group Pmc2_1 (No. 26)
One atom of each set of equivalent atoms:
Pm1 0.0000 0.1998 0.0000 x2
Re1 0.5000 0.3154 0.3497 x2
P1 0.5000 0.1871 0.6924 x2
O1 0.0000 0.3096 0.3437 x2

Summary:
- Uncorrected energy: -65.15 eV/cell

---

# 6
Crystalline PmRePO at its relaxed geometry, computed with PBE.

Cell lengths 4.2705, 4.2705, 6.9124 Å; angles 90.00, 90.00, 90.00 degrees
Space group P4/nmm (No. 129, origin choice 2)
One atom of each set of equivalent atoms:
Pm1 0.2500 0.7500 0.0000 x2
Re1 0.2500 0.2500 0.3853 x2
P1 0.2500 0.2500 0.7224 x2
O1 0.2500 0.7500 0.5000 x2

Summary:
- Uncorrected energy: -54.38 eV/cell

---

# 7
Crystalline PmSbPO at its relaxed geometry, computed with PBE.

Cell lengths 4.3108, 6.1123, 6.2593 Å; angles 90.00, 90.00, 90.00 degrees
Space group Pmc2_1 (No. 26)
One atom of each set of equivalent atoms:
Pm1 0.0000 0.2231 0.0000 x2
Sb1 0.5000 0.3724 0.4030 x2
P1 0.5000 0.0756 0.7018 x2
O1 0.0000 0.4226 0.3286 x2

Summary:
- Uncorrected energy: -48.39 eV/cell

---

# 8
Crystalline PmSbPO at its relaxed geometry, computed with PBE.

Cell lengths 4.1101, 4.1101, 10.0471 Å; angles 90.00, 90.00, 90.00 degrees
Space group P4/nmm (No. 129, origin choice 2)
One atom of each set of equivalent atoms:
Pm1 0.2500 0.2500 0.1108 x2
Sb1 0.2500 0.7500 0.5000 x2
P1 0.2500 0.2500 0.7239 x2
O1 0.2500 0.7500 0.0000 x2

Summary:
- Uncorrected energy: -48.80 eV/cell

---

# 9
Crystalline PmSbPO at its relaxed geometry, computed with PBE.

Cell lengths 5.6404, 5.6404, 5.2167 Å; angles 90.00, 90.00, 90.00 degrees
Space group P4/nmm (No. 129, origin choice 2)
One atom of each set of equivalent atoms:
Pm1 0.2500 0.7500 0.0000 x2
Sb1 0.2500 0.2500 0.4989 x2
P1 0.2500 0.2500 0.9971 x2
O1 0.2500 0.7500 0.5000 x2

Summary:
- Uncorrected energy: -46.08 eV/cell

---

# 10
Crystalline SrPmPO at its relaxed geometry, computed with PBE.

Cell lengths 5.5839, 5.5839, 5.6753 Å; angles 90.00, 90.00, 90.00 degrees
Space group P4/nmm (No. 129, origin choice 2)
One atom of each set of equivalent atoms:
Sr1 0.2500 0.2500 0.0014 x2
Pm1 0.2500 0.7500 0.5000 x2
P1 0.2500 0.2500 0.5019 x2
O1 0.2500 0.7500 0.0000 x2

Summary:
- Uncorrected energy: -48.73 eV/cell

---

# 11
Crystalline SrPmPO at its relaxed geometry, computed with PBE.

Cell lengths 4.4167, 4.4167, 9.2552 Å; angles 90.00, 90.00, 90.00 degrees
Space group P4/nmm (No. 129, origin choice 2)
One atom of each set of equivalent atoms:
Sr1 0.2500 0.7500 0.0000 x2
Pm1 0.2500 0.2500 0.4014 x2
P1 0.2500 0.2500 0.7916 x2
O1 0.2500 0.7500 0.5000 x2

Summary:
- Uncorrected energy: -47.21 eV/cell

---

# 12
Crystalline SrPmPO at its relaxed geometry, computed with PBE.

Cell lengths 4.4757, 7.4023, 6.5659 Å; angles 90.00, 90.00, 90.00 degrees
Space group Pmc2_1 (No. 26)
One atom of each set of equivalent atoms:
Sr1 0.0000 0.1884 0.0000 x2
Pm1 0.5000 0.3854 0.5915 x2
P1 0.0000 0.2115 0.4594 x2
O1 0.5000 0.3443 0.9326 x2

Summary:
- Uncorrected energy: -49.48 eV/cell

---

# 13
Crystalline SrPmPO at its relaxed geometry, computed with PBE.

Cell lengths 4.4098, 4.4098, 9.3001 Å; angles 90.00, 90.00, 90.00 degrees
Space group P4/nmm (No. 129, origin choice 2)
One atom of each set of equivalent atoms:
Sr1 0.2500 0.7500 0.0000 x2
Pm1 0.2500 0.2500 0.4016 x2
P1 0.2500 0.2500 0.7921 x2
O1 0.2500 0.7500 0.5000 x2

Summary:
- Uncorrected energy: -47.21 eV/cell

---

# 14
Crystalline PmTcPO at its relaxed geometry, computed with PBE.

Cell lengths 4.2176, 4.2176, 8.9610 Å; angles 90.00, 90.00, 90.00 degrees
Space group P4/nmm (No. 129, origin choice 2)
One atom of each set of equivalent atoms:
Pm1 0.2500 0.7500 0.0000 x2
Tc1 0.2500 0.2500 0.4638 x2
P1 0.2500 0.2500 0.2179 x2
O1 0.2500 0.7500 0.5000 x2

Summary:
- Uncorrected energy: -52.65 eV/cell

---

# 15
Crystalline PmTcPO at its relaxed geometry, computed with PBE.

Cell lengths 4.0053, 4.0053, 8.3628 Å; angles 90.00, 90.00, 90.00 degrees
Space group P4/nmm (No. 129, origin choice 2)
One atom of each set of equivalent atoms:
Pm1 0.2500 0.2500 0.1391 x2
Tc1 0.2500 0.7500 0.5000 x2
P1 0.2500 0.2500 0.6533 x2
O1 0.2500 0.7500 0.0000 x2

Summary:
- Uncorrected energy: -66.00 eV/cell

---

# 16
Crystalline PmTcPO at its relaxed geometry, computed with PBE.

Cell lengths 4.4319, 4.2402, 6.7851 Å; angles 90.00, 90.00, 90.00 degrees
Space group Pmc2_1 (No. 26)
One atom of each set of equivalent atoms:
Pm1 0.0000 0.2109 0.0000 x2
Tc1 0.5000 0.2995 0.3469 x2
P1 0.5000 0.2020 0.6860 x2
O1 0.0000 0.2942 0.3409 x2

Summary:
- Uncorrected energy: -62.61 eV/cell

---

# 17
Crystalline PmTlPO at its relaxed geometry, computed with PBE.

Cell lengths 4.1325, 7.9923, 5.9214 Å; angles 90.00, 90.00, 90.00 degrees
Space group Pmc2_1 (No. 26)
One atom of each set of equivalent atoms:
Pm1 0.0000 0.1887 0.0000 x2
Tl1 0.5000 0.3733 0.5350 x2
P1 0.0000 0.1669 0.4960 x2
O1 0.5000 0.3027 0.9841 x2

Summary:
- Uncorrected energy: -44.38 eV/cell

---

# 18
Crystalline PmTlPO at its relaxed geometry, computed with PBE.

Cell lengths 4.2360, 4.2360, 9.4820 Å; angles 90.00, 90.00, 90.00 degrees
Space group P4/nmm (No. 129, origin choice 2)
One atom of each set of equivalent atoms:
Pm1 0.2500 0.2500 0.1117 x2
Tl1 0.2500 0.7500 0.5000 x2
P1 0.2500 0.2500 0.7176 x2
O1 0.2500 0.7500 0.0000 x2

Summary:
- Uncorrected energy: -45.59 eV/cell

---

# 19
Crystalline PmTlPO at its relaxed geometry, computed with PBE.

Cell lengths 5.8758, 5.8758, 4.9951 Å; angles 90.00, 90.00, 90.00 degrees
Space group P4/nmm (No. 129, origin choice 2)
One atom of each set of equivalent atoms:
Pm1 0.2500 0.7500 0.0000 x2
Tl1 0.2500 0.2500 0.4945 x2
P1 0.2500 0.2500 0.9941 x2
O1 0.2500 0.7500 0.5000 x2

Summary:
- Uncorrected energy: -44.23 eV/cell

---

# 20
Crystalline PmTmPO at its relaxed geometry, computed with PBE.

Cell lengths 4.1601, 7.6207, 5.4336 Å; angles 90.00, 90.00, 90.00 degrees
Space group Pmc2_1 (No. 26)
One atom of each set of equivalent atoms:
Pm1 0.0000 0.1345 0.0000 x2
Tm1 0.5000 0.2917 0.4863 x2
P1 0.5000 0.3577 0.9856 x2
O1 0.0000 0.1777 0.4717 x2

Summary:
- Uncorrected energy: -54.99 eV/cell

---

# 21
Crystalline PmTmPO at its relaxed geometry, computed with PBE.

Cell lengths 4.3309, 4.3309, 8.7414 Å; angles 90.00, 90.00, 90.00 degrees
Space group P4/nmm (No. 129, origin choice 2)
One atom of each set of equivalent atoms:
Pm1 0.2500 0.2500 0.1125 x2
Tm1 0.2500 0.7500 0.5000 x2
P1 0.2500 0.2500 0.6856 x2
O1 0.2500 0.7500 0.0000 x2

Summary:
- Uncorrected energy: -54.77 eV/cell

---

# 22
Crystalline PmTmPO at its relaxed geometry, computed with PBE.

Cell lengths 4.2944, 4.2944, 8.6538 Å; angles 90.00, 90.00, 90.00 degrees
Space group P4/nmm (No. 129, origin choice 2)
One atom of each set of equivalent atoms:
Pm1 0.2500 0.7500 0.0000 x2
Tm1 0.2500 0.2500 0.4065 x2
P1 0.2500 0.2500 0.7886 x2
O1 0.2500 0.7500 0.5000 x2

Summary:
- Uncorrected energy: -53.61 eV/cell

---

# 23
Crystalline PrPO4 at its relaxed geometry, computed with PBE.

Cell lengths 4.9446, 4.9446, 11.5885 Å; angles 90.00, 90.00, 90.00 degrees
Space group I4_1/a (No. 88, origin choice 2)
One atom of each set of equivalent atoms:
Pr1 0.0000 0.2500 0.1250 x4
P1 0.0000 0.2500 0.6250 x4
O1 0.1101 0.4882 0.6983 x16

Summary:
- Uncorrected energy: -189.96 eV/cell